A plane-wave DFT calculation with PBE-GGA was carried out for an optimized crystal structure of Na2InGeO4. Values from VASP.

Structure (Quantum ESPRESSO input):
```
&SYSTEM
  ibrav = 0, nat = 8, ntyp = 4
/
ATOMIC_SPECIES
Na 22.99 Na.upf
In 114.82 In.upf
Ge 72.64 Ge.upf
O 16.00 O.upf
ATOMIC_POSITIONS crystal
Na 0.0000 0.5000 0.5000
Na 0.5000 0.0000 0.5000
In 0.0000 0.0000 0.0000
Ge 0.5000 0.5000 0.0000
O 0.1498 0.1498 0.6685
O 0.4813 0.4813 0.3315
O 0.5187 0.8502 0.0000
O 0.8502 0.5187 0.0000
CELL_PARAMETERS angstrom
-3.0604 3.0604 2.9665
3.0604 -3.0604 2.9665
3.0604 3.0604 -2.9665
```

ΔE_f (raw): -1393 meV per atom



A plane-wave DFT calculation with PBE-GGA was carried out for an optimized crystal structure of Na2InGeO5. Values from VASP.

Structure (Quantum ESPRESSO input):
```
&SYSTEM
  ibrav = 0, nat = 18, ntyp = 4
/
ATOMIC_SPECIES
Na 22.99 Na.upf
In 114.82 In.upf
Ge 72.64 Ge.upf
O 16.00 O.upf
ATOMIC_POSITIONS crystal
Na 0.0851 0.9149 0.5000
Na 0.1773 0.8227 0.1109
Na 0.8227 0.1773 0.6109
Na 0.9149 0.0851 0.0000
In 0.2142 0.7858 0.8443
In 0.7858 0.2142 0.3443
Ge 0.4931 0.5069 0.2542
Ge 0.5069 0.4931 0.7542
O 0.0250 0.9750 0.8367
O 0.2656 0.7344 0.4601
O 0.3420 0.6580 0.2302
O 0.3631 0.6369 0.7564
O 0.4976 0.5024 0.1027
O 0.5024 0.4976 0.6027
O 0.6369 0.3631 0.2564
O 0.6580 0.3420 0.7302
O 0.7344 0.2656 0.9601
O 0.9750 0.0250 0.3367
CELL_PARAMETERS angstrom
1.6301 -6.2977 0.0000
1.6301 6.2977 0.0000
0.0000 0.0000 11.8284
```

ΔE_f (raw): -1437 meV per atom



A plane-wave DFT calculation with PBE-GGA was carried out for an optimized crystal structure of Na2In2GeO6. Values from VASP.

Structure (Quantum ESPRESSO input):
```
&SYSTEM
  ibrav = 0, nat = 11, ntyp = 4
/
ATOMIC_SPECIES
Na 22.99 Na.upf
In 114.82 In.upf
Ge 72.64 Ge.upf
O 16.00 O.upf
ATOMIC_POSITIONS crystal
Na 0.1623 0.8377 0.0000
Na 0.8377 0.1623 0.0000
In 0.3351 0.6649 0.5000
In 0.6649 0.3351 0.5000
Ge 0.0000 0.0000 0.5000
O 0.0560 0.3620 0.6955
O 0.2325 0.2325 0.3083
O 0.3620 0.0560 0.6955
O 0.6380 0.9440 0.3045
O 0.7675 0.7675 0.6917
O 0.9440 0.6380 0.3045
CELL_PARAMETERS angstrom
2.7553 -4.7179 0.0000
2.7553 4.7179 0.0000
-1.7182 0.0000 5.6229
```

ΔE_f (raw): -1627 meV per atom



A plane-wave DFT calculation with PBE-GGA was carried out for an optimized crystal structure of NaInGe4O12. Values from VASP.

Structure (Quantum ESPRESSO input):
```
&SYSTEM
  ibrav = 0, nat = 18, ntyp = 4
/
ATOMIC_SPECIES
Na 22.99 Na.upf
In 114.82 In.upf
Ge 72.64 Ge.upf
O 16.00 O.upf
ATOMIC_POSITIONS crystal
Na 0.0000 0.0000 0.0000
In 0.5000 0.5294 0.5294
Ge 0.2432 0.0208 0.5121
Ge 0.2432 0.5121 0.0208
Ge 0.7568 0.0208 0.5121
Ge 0.7568 0.5121 0.0208
O 0.0000 0.5699 0.9854
O 0.0000 0.9854 0.5699
O 0.2042 0.2182 0.2182
O 0.2762 0.3104 0.7236
O 0.2762 0.7236 0.3104
O 0.3077 0.7825 0.7825
O 0.5000 0.0886 0.4647
O 0.5000 0.4647 0.0886
O 0.6923 0.7825 0.7825
O 0.7238 0.3104 0.7236
O 0.7238 0.7236 0.3104
O 0.7958 0.2182 0.2182
CELL_PARAMETERS angstrom
7.4318 0.0000 0.0000
0.0000 3.6776 3.7625
0.0000 -3.6776 3.7625
```

ΔE_f (raw): -1077 meV per atom



A plane-wave DFT calculation with PBE-GGA was carried out for an optimized crystal structure of NaInGe2P. Values from VASP.

Structure (Quantum ESPRESSO input):
```
&SYSTEM
  ibrav = 0, nat = 5, ntyp = 4
/
ATOMIC_SPECIES
Na 22.99 Na.upf
In 114.82 In.upf
Ge 72.64 Ge.upf
P 30.97 P.upf
ATOMIC_POSITIONS crystal
Na 0.0000 0.0000 0.0000
In 0.0000 0.0000 0.5000
Ge 0.0000 0.5000 0.0000
Ge 0.5000 0.0000 0.0000
P 0.5000 0.5000 0.5000
CELL_PARAMETERS angstrom
5.0487 0.0000 0.0000
0.0000 5.0487 0.0000
0.0000 0.0000 5.2630
```

Energy relative to the elements: 1.14 eV per atom



A plane-wave DFT calculation with PBE-GGA was carried out for an optimized crystal structure of NaInGePb. Values from VASP.

Structure (Quantum ESPRESSO input):
```
&SYSTEM
  ibrav = 0, nat = 4, ntyp = 4
/
ATOMIC_SPECIES
Na 22.99 Na.upf
In 114.82 In.upf
Ge 72.64 Ge.upf
Pb 207.20 Pb.upf
ATOMIC_POSITIONS crystal
Na 0.0000 0.0000 0.0000
In 0.2500 0.2500 0.2500
Ge 0.5000 0.5000 0.5000
Pb 0.7500 0.7500 0.7500
CELL_PARAMETERS angstrom
0.0000 3.7349 3.7349
3.7349 0.0000 3.7349
3.7349 3.7349 0.0000
```

Energy relative to the elements: 0.01 eV per atom



A plane-wave DFT calculation with PBE-GGA was carried out for an optimized crystal structure of NaInGePd. Values from VASP.

Structure (Quantum ESPRESSO input):
```
&SYSTEM
  ibrav = 0, nat = 4, ntyp = 4
/
ATOMIC_SPECIES
Na 22.99 Na.upf
In 114.82 In.upf
Ge 72.64 Ge.upf
Pd 106.42 Pd.upf
ATOMIC_POSITIONS crystal
Na 0.0000 0.0000 0.0000
In 0.5000 0.5000 0.3179
Ge 0.5000 0.5000 0.7210
Pd 0.0000 0.0000 0.5602
CELL_PARAMETERS angstrom
3.2624 0.0000 0.0000
0.0000 3.2624 0.0000
0.0000 0.0000 7.8059
```

Energy relative to the elements: -0.27 eV per atom



A plane-wave DFT calculation with PBE-GGA was carried out for an optimized crystal structure of NaInGePd. Values from VASP.

Structure (Quantum ESPRESSO input):
```
&SYSTEM
  ibrav = 0, nat = 4, ntyp = 4
/
ATOMIC_SPECIES
Na 22.99 Na.upf
In 114.82 In.upf
Ge 72.64 Ge.upf
Pd 106.42 Pd.upf
ATOMIC_POSITIONS crystal
Na 0.0000 0.0000 0.0000
In 0.7500 0.7500 0.7500
Ge 0.2500 0.2500 0.2500
Pd 0.5000 0.5000 0.5000
CELL_PARAMETERS angstrom
0.0000 3.3511 3.3511
3.3511 0.0000 3.3511
3.3511 3.3511 0.0000
```

Energy relative to the elements: -0.15 eV per atom



A plane-wave DFT calculation with PBE-GGA was carried out for an optimized crystal structure of NaPmInGe. Values from VASP.

Structure (Quantum ESPRESSO input):
```
&SYSTEM
  ibrav = 0, nat = 4, ntyp = 4
/
ATOMIC_SPECIES
Na 22.99 Na.upf
Pm 145.00 Pm.upf
In 114.82 In.upf
Ge 72.64 Ge.upf
ATOMIC_POSITIONS crystal
Na 0.0000 0.0000 0.0000
Pm 0.5000 0.5000 0.5000
In 0.2500 0.2500 0.2500
Ge 0.7500 0.7500 0.7500
CELL_PARAMETERS angstrom
0.0000 3.6959 3.6959
3.6959 0.0000 3.6959
3.6959 3.6959 0.0000
```

Energy relative to the elements: -0.26 eV per atom



A plane-wave DFT calculation with PBE-GGA was carried out for an optimized crystal structure of NaPrInGe. Values from VASP.

Structure (Quantum ESPRESSO input):
```
&SYSTEM
  ibrav = 0, nat = 4, ntyp = 4
/
ATOMIC_SPECIES
Na 22.99 Na.upf
Pr 140.91 Pr.upf
In 114.82 In.upf
Ge 72.64 Ge.upf
ATOMIC_POSITIONS crystal
Na 0.0000 0.0000 0.0000
Pr 0.5000 0.5000 0.5000
In 0.2500 0.2500 0.2500
Ge 0.7500 0.7500 0.7500
CELL_PARAMETERS angstrom
0.0000 3.7309 3.7309
3.7309 0.0000 3.7309
3.7309 3.7309 0.0000
```

Energy relative to the elements: -0.26 eV per atom



A plane-wave DFT calculation with PBE-GGA was carried out for an optimized crystal structure of Na2InGe3Pt4. Values from VASP.

Structure (Quantum ESPRESSO input):
```
&SYSTEM
  ibrav = 0, nat = 10, ntyp = 4
/
ATOMIC_SPECIES
Na 22.99 Na.upf
In 114.82 In.upf
Ge 72.64 Ge.upf
Pt 195.08 Pt.upf
ATOMIC_POSITIONS crystal
Na 0.0000 0.5000 0.2402
Na 0.5000 0.0000 0.7598
In 0.0000 0.0000 0.5000
Ge 0.0000 0.5000 0.8759
Ge 0.5000 0.0000 0.1241
Ge 0.5000 0.5000 0.5000
Pt 0.0000 0.0000 0.0000
Pt 0.0000 0.5000 0.6458
Pt 0.5000 0.0000 0.3542
Pt 0.5000 0.5000 0.0000
CELL_PARAMETERS angstrom
4.3320 0.0000 0.0000
0.0000 4.3320 0.0000
0.0000 0.0000 10.5987
```

Energy relative to the elements: -0.47 eV per atom



A plane-wave DFT calculation with PBE-GGA was carried out for an optimized crystal structure of Na2InGe2Pt5. Values from VASP.

Structure (Quantum ESPRESSO input):
```
&SYSTEM
  ibrav = 0, nat = 20, ntyp = 4
/
ATOMIC_SPECIES
Na 22.99 Na.upf
In 114.82 In.upf
Ge 72.64 Ge.upf
Pt 195.08 Pt.upf
ATOMIC_POSITIONS crystal
Na 0.1723 0.3277 0.0000
Na 0.3277 0.8277 0.0000
Na 0.6723 0.1723 0.0000
Na 0.8277 0.6723 0.0000
In 0.0000 0.0000 0.0000
In 0.5000 0.5000 0.0000
Ge 0.1272 0.6272 0.0000
Ge 0.3728 0.1272 0.0000
Ge 0.6272 0.8728 0.0000
Ge 0.8728 0.3728 0.0000
Pt 0.0000 0.5000 0.5000
Pt 0.0691 0.7930 0.5000
Pt 0.2070 0.0691 0.5000
Pt 0.2930 0.5691 0.5000
Pt 0.4309 0.2930 0.5000
Pt 0.5000 0.0000 0.5000
Pt 0.5691 0.7070 0.5000
Pt 0.7070 0.4309 0.5000
Pt 0.7930 0.9309 0.5000
Pt 0.9309 0.2070 0.5000
CELL_PARAMETERS angstrom
9.5600 0.0000 0.0000
0.0000 9.5600 0.0000
0.0000 0.0000 3.8410
```

Energy relative to the elements: -0.42 eV per atom



A plane-wave DFT calculation with PBE-GGA was carried out for an optimized crystal structure of Na2InGe4Pt3. Values from VASP.

Structure (Quantum ESPRESSO input):
```
&SYSTEM
  ibrav = 0, nat = 10, ntyp = 4
/
ATOMIC_SPECIES
Na 22.99 Na.upf
In 114.82 In.upf
Ge 72.64 Ge.upf
Pt 195.08 Pt.upf
ATOMIC_POSITIONS crystal
Na 0.0000 0.5000 0.2417
Na 0.5000 0.0000 0.7583
In 0.0000 0.0000 0.5000
Ge 0.0000 0.0000 0.0000
Ge 0.0000 0.5000 0.6487
Ge 0.5000 0.0000 0.3513
Ge 0.5000 0.5000 0.0000
Pt 0.0000 0.5000 0.8811
Pt 0.5000 0.0000 0.1189
Pt 0.5000 0.5000 0.5000
CELL_PARAMETERS angstrom
4.3763 0.0000 0.0000
0.0000 4.3763 0.0000
0.0000 0.0000 10.6050
```

Energy relative to the elements: -0.34 eV per atom



A plane-wave DFT calculation with PBE-GGA was carried out for an optimized crystal structure of NaInGePt. Values from VASP.

Structure (Quantum ESPRESSO input):
```
&SYSTEM
  ibrav = 0, nat = 4, ntyp = 4
/
ATOMIC_SPECIES
Na 22.99 Na.upf
In 114.82 In.upf
Ge 72.64 Ge.upf
Pt 195.08 Pt.upf
ATOMIC_POSITIONS crystal
Na 0.0000 0.0000 0.0000
In 0.7500 0.7500 0.7500
Ge 0.2500 0.2500 0.2500
Pt 0.5000 0.5000 0.5000
CELL_PARAMETERS angstrom
0.0000 3.3387 3.3387
3.3387 0.0000 3.3387
3.3387 3.3387 0.0000
```

Energy relative to the elements: -0.20 eV per atom



A plane-wave DFT calculation with PBE-GGA was carried out for an optimized crystal structure of RbNa2InGe. Values from VASP.

Structure (Quantum ESPRESSO input):
```
&SYSTEM
  ibrav = 0, nat = 5, ntyp = 4
/
ATOMIC_SPECIES
Rb 85.47 Rb.upf
Na 22.99 Na.upf
In 114.82 In.upf
Ge 72.64 Ge.upf
ATOMIC_POSITIONS crystal
Rb 0.0000 0.0000 0.0000
Na 0.0000 0.5000 0.5000
Na 0.5000 0.0000 0.5000
In 0.5000 0.5000 0.0000
Ge 0.5000 0.5000 0.5000
CELL_PARAMETERS angstrom
5.7729 0.0000 0.0000
0.0000 5.7729 0.0000
0.0000 0.0000 5.5996
```

Energy relative to the elements: -0.01 eV per atom



A plane-wave DFT calculation with PBE-GGA was carried out for an optimized crystal structure of NaInRe2Ge. Values from VASP.

Structure (Quantum ESPRESSO input):
```
&SYSTEM
  ibrav = 0, nat = 5, ntyp = 4
/
ATOMIC_SPECIES
Na 22.99 Na.upf
In 114.82 In.upf
Re 186.21 Re.upf
Ge 72.64 Ge.upf
ATOMIC_POSITIONS crystal
Na 0.0000 0.0000 0.0000
In 0.5000 0.5000 0.5000
Re 0.0000 0.5000 0.0000
Re 0.5000 0.0000 0.0000
Ge 0.0000 0.0000 0.5000
CELL_PARAMETERS angstrom
4.7561 0.0000 0.0000
0.0000 4.7561 0.0000
0.0000 0.0000 4.6358
```

Energy relative to the elements: 2.43 eV per atom



A plane-wave DFT calculation with PBE-GGA was carried out for an optimized crystal structure of NaIn2GeS6. Values from VASP.

Structure (Quantum ESPRESSO input):
```
&SYSTEM
  ibrav = 0, nat = 20, ntyp = 4
/
ATOMIC_SPECIES
Na 22.99 Na.upf
In 114.82 In.upf
Ge 72.64 Ge.upf
S 32.06 S.upf
ATOMIC_POSITIONS crystal
Na 0.1221 0.8779 0.7500
Na 0.8779 0.1221 0.2500
In 0.2353 0.4035 0.8975
In 0.4035 0.2353 0.3975
In 0.5965 0.7647 0.6025
In 0.7647 0.5965 0.1025
Ge 0.1680 0.8320 0.2500
Ge 0.8320 0.1680 0.7500
S 0.0475 0.1765 0.6705
S 0.1283 0.6536 0.9532
S 0.1765 0.0475 0.1705
S 0.3243 0.4497 0.6251
S 0.3464 0.8717 0.5468
S 0.4497 0.3243 0.1251
S 0.5503 0.6757 0.8749
S 0.6536 0.1283 0.4532
S 0.6757 0.5503 0.3749
S 0.8235 0.9525 0.8295
S 0.8717 0.3464 0.0468
S 0.9525 0.8235 0.3295
CELL_PARAMETERS angstrom
6.5352 -6.5536 0.0000
6.5352 6.5536 0.0000
-3.2914 0.0000 6.6991
```

ΔE_f (raw): -445 meV per atom



A plane-wave DFT calculation with PBE-GGA was carried out for an optimized crystal structure of NaInGeS4. Values from VASP.

Structure (Quantum ESPRESSO input):
```
&SYSTEM
  ibrav = 0, nat = 14, ntyp = 4
/
ATOMIC_SPECIES
Na 22.99 Na.upf
In 114.82 In.upf
Ge 72.64 Ge.upf
S 32.06 S.upf
ATOMIC_POSITIONS crystal
Na 0.0000 0.0000 0.0000
Na 0.0000 0.0000 0.5000
In 0.3649 0.6351 0.7500
In 0.6351 0.3649 0.2500
Ge 0.3617 0.6383 0.2500
Ge 0.6383 0.3617 0.7500
S 0.2449 0.7551 0.0191
S 0.2449 0.7551 0.4809
S 0.2618 0.2967 0.2500
S 0.2967 0.2618 0.7500
S 0.7033 0.7382 0.2500
S 0.7382 0.7033 0.7500
S 0.7551 0.2449 0.5191
S 0.7551 0.2449 0.9809
CELL_PARAMETERS angstrom
3.9168 -5.9942 0.0000
3.9168 5.9942 0.0000
0.0000 0.0000 7.5499
```

ΔE_f (raw): -622 meV per atom



A plane-wave DFT calculation with PBE-GGA was carried out for an optimized crystal structure of Na2In2GeS6. Values from VASP.

Structure (Quantum ESPRESSO input):
```
&SYSTEM
  ibrav = 0, nat = 22, ntyp = 4
/
ATOMIC_SPECIES
Na 22.99 Na.upf
In 114.82 In.upf
Ge 72.64 Ge.upf
S 32.06 S.upf
ATOMIC_POSITIONS crystal
Na 0.0726 0.9274 0.5000
Na 0.5166 0.9293 0.1766
Na 0.9274 0.0726 0.0000
Na 0.9293 0.5166 0.6766
In 0.3053 0.4189 0.0129
In 0.4189 0.3053 0.5129
In 0.4580 0.6279 0.8169
In 0.6279 0.4580 0.3169
Ge 0.0792 0.5134 0.2571
Ge 0.5134 0.0792 0.7571
S 0.2202 0.2217 0.8179
S 0.2217 0.2202 0.3179
S 0.2235 0.6200 0.6311
S 0.2684 0.7091 0.3085
S 0.3016 0.7456 0.9870
S 0.4601 0.9860 0.5701
S 0.6200 0.2235 0.1311
S 0.7029 0.8040 0.8364
S 0.7091 0.2684 0.8085
S 0.7456 0.3016 0.4870
S 0.8040 0.7029 0.3364
S 0.9860 0.4601 0.0701
CELL_PARAMETERS angstrom
6.1339 -4.0138 0.0000
6.1339 4.0138 0.0000
-4.0499 0.0000 11.8385
```

ΔE_f (raw): -753 meV per atom



A plane-wave DFT calculation with PBE-GGA was carried out for an optimized crystal structure of Na2In2GeS6. Values from VASP.

Structure (Quantum ESPRESSO input):
```
&SYSTEM
  ibrav = 0, nat = 11, ntyp = 4
/
ATOMIC_SPECIES
Na 22.99 Na.upf
In 114.82 In.upf
Ge 72.64 Ge.upf
S 32.06 S.upf
ATOMIC_POSITIONS crystal
Na 0.1692 0.8308 0.0000
Na 0.8308 0.1692 0.0000
In 0.3302 0.6698 0.5000
In 0.6698 0.3302 0.5000
Ge 0.0000 0.0000 0.5000
S 0.0710 0.3839 0.7120
S 0.2367 0.2367 0.2968
S 0.3839 0.0710 0.7120
S 0.6161 0.9290 0.2880
S 0.7633 0.7633 0.7032
S 0.9290 0.6161 0.2880
CELL_PARAMETERS angstrom
3.2413 -5.5694 0.0000
3.2413 5.5694 0.0000
-2.1769 0.0000 6.8377
```

ΔE_f (raw): -667 meV per atom



A plane-wave DFT calculation with PBE-GGA was carried out for an optimized crystal structure of NaInGeSe3. Values from VASP.

Structure (Quantum ESPRESSO input):
```
&SYSTEM
  ibrav = 0, nat = 12, ntyp = 4
/
ATOMIC_SPECIES
Na 22.99 Na.upf
In 114.82 In.upf
Ge 72.64 Ge.upf
Se 78.96 Se.upf
ATOMIC_POSITIONS crystal
Na 0.1798 0.2500 0.1350
Na 0.8202 0.7500 0.8650
In 0.0777 0.2500 0.6326
In 0.9223 0.7500 0.3674
Ge 0.3517 0.7500 0.8875
Ge 0.6483 0.2500 0.1125
Se 0.0698 0.2500 0.8528
Se 0.2164 0.7500 0.5497
Se 0.4279 0.7500 0.1190
Se 0.5721 0.2500 0.8810
Se 0.7836 0.2500 0.4503
Se 0.9302 0.7500 0.1472
CELL_PARAMETERS angstrom
8.3693 0.0000 0.0000
0.0000 4.1661 0.0000
-3.2676 0.0000 10.8919
```

ΔE_f (raw): -566 meV per atom



A plane-wave DFT calculation with PBE-GGA was carried out for an optimized crystal structure of Na2InGeSe5. Values from VASP.

Structure (Quantum ESPRESSO input):
```
&SYSTEM
  ibrav = 0, nat = 18, ntyp = 4
/
ATOMIC_SPECIES
Na 22.99 Na.upf
In 114.82 In.upf
Ge 72.64 Ge.upf
Se 78.96 Se.upf
ATOMIC_POSITIONS crystal
Na 0.1142 0.8858 0.5000
Na 0.1252 0.8748 0.8688
Na 0.8748 0.1252 0.3688
Na 0.8858 0.1142 0.0000
In 0.2262 0.7738 0.2301
In 0.7738 0.2262 0.7301
Ge 0.4371 0.5629 0.6227
Ge 0.5629 0.4371 0.1227
Se 0.0339 0.9661 0.2346
Se 0.2862 0.7138 0.8769
Se 0.3198 0.6802 0.5836
Se 0.3533 0.6467 0.1853
Se 0.4895 0.5105 0.4630
Se 0.5105 0.4895 0.9630
Se 0.6467 0.3533 0.6853
Se 0.6802 0.3198 0.0836
Se 0.7138 0.2862 0.3769
Se 0.9661 0.0339 0.7346
CELL_PARAMETERS angstrom
1.8271 -10.0204 0.0000
1.8271 10.0204 0.0000
0.0000 0.0000 13.1411
```

ΔE_f (raw): -570 meV per atom